# 1
The following is a DFT calculation (GGA-PBE) of a relaxed BaPrTl2 crystal.

The space group is P4/mmm (No. 123) and the conventional cell measures 4.086, 4.086 and 8.320 Å, with angles of 90.00, 90.00 and 90.00 degrees. The asymmetric unit holds Ba at (0.000, 0.000, 0.000), Pr at (0.000, 0.000, 0.500) and Tl at (0.500, 0.500, 0.284).



# 2
The following is a DFT calculation (GGA-PBE) of a relaxed BaPrTl crystal.

The space group is I4mm (No. 107) and the conventional cell measures 4.134, 4.134 and 14.099 Å, with angles of 90.00, 90.00 and 90.00 degrees. The asymmetric unit holds Ba at (0.000, 0.000, 0.000), Pr at (0.000, 0.000, 0.276) and Tl at (0.000, 0.000, 0.668).

Its energy relative to the lowest polymorph listed for this composition is 2.37 kcal/mol of atoms.



# 3
The following is a DFT calculation (GGA-PBE) of a relaxed BaPrTl crystal.

The space group is P4/nmm (No. 129, origin choice 2) and the conventional cell measures 5.343, 5.343 and 8.497 Å, with angles of 90.00, 90.00 and 90.00 degrees. The asymmetric unit holds Ba at (0.250, 0.250, 0.137), Pr at (0.250, 0.750, 0.500) and Tl at (0.250, 0.250, 0.727).

Its energy relative to the lowest polymorph listed for this composition is 0.00 kcal/mol of atoms.



Sequential ΔH_f (0 K) output: -37.63 -17.57 -27.50 kJ per mole of atoms
Sequential E output: -3.25 -3.20 -3.31 eV/atom